No. 1
DFT (PBE) results for crystalline NaCeMg6O8 at its relaxed geometry.

Values from the calculation:
Calculated volume (A^3/atom): 11.312
Space-group type: P4/mmm, No. 123
E_form (uncorrected) (eV per atom): -2.535
Polymorph energy (0 for the lowest one) (eV per atom): 0.000
Theoretical density (g/cm³): 4.0

The structure in CIF format:
```
data_NaCeMg6O8
_chemical_formula_sum 'Na1 Ce1 Mg6 O8'
_symmetry_space_group_name_H-M 'P 1'
_symmetry_Int_Tables_number 1
_symmetry_space_group_name_Hall 'P 1'
_cell_length_a 4.468
_cell_length_b 4.468
_cell_length_c 9.065
_cell_angle_alpha 90.00
_cell_angle_beta 90.00
_cell_angle_gamma 90.00
loop_
_atom_site_label
_atom_site_fract_x
_atom_site_fract_y
_atom_site_fract_z
Na1 0.000 0.000 0.000
Ce1 0.500 0.500 0.000
Mg1 0.000 0.000 0.500
Mg2 0.000 0.500 0.271
Mg3 0.000 0.500 0.729
Mg4 0.500 0.000 0.271
Mg5 0.500 0.000 0.729
Mg6 0.500 0.500 0.500
O1 0.000 0.000 0.272
O2 0.000 0.000 0.728
O3 0.000 0.500 0.000
O4 0.000 0.500 0.500
O5 0.500 0.000 0.000
O6 0.500 0.000 0.500
O7 0.500 0.500 0.269
O8 0.500 0.500 0.731
```

---

No. 2
DFT (PBE) results for crystalline NaCeMg30O32 at its relaxed geometry.

Values from the calculation:
Calculated volume (A^3/atom): 10.030
Space-group type: P4/mmm, No. 123
E_form (uncorrected) (eV per atom): -2.654
Theoretical density (g/cm³): 3.6

The structure in CIF format:
```
data_NaCeMg30O32
_chemical_formula_sum 'Na1 Ce1 Mg30 O32'
_symmetry_space_group_name_H-M 'P 1'
_symmetry_Int_Tables_number 1
_symmetry_space_group_name_Hall 'P 1'
_cell_length_a 8.627
_cell_length_b 8.627
_cell_length_c 8.625
_cell_angle_alpha 90.00
_cell_angle_beta 90.00
_cell_angle_gamma 90.00
loop_
_atom_site_label
_atom_site_fract_x
_atom_site_fract_y
_atom_site_fract_z
Na1 0.000 0.000 0.000
Ce1 0.500 0.500 0.000
Mg1 0.000 0.000 0.500
Mg2 0.000 0.247 0.250
Mg3 0.000 0.247 0.750
Mg4 0.000 0.500 0.000
Mg5 0.000 0.500 0.500
Mg6 0.000 0.753 0.250
Mg7 0.000 0.753 0.750
Mg8 0.240 0.240 0.000
Mg9 0.240 0.760 0.000
Mg10 0.241 0.500 0.258
Mg11 0.241 0.500 0.742
Mg12 0.247 0.000 0.250
Mg13 0.247 0.000 0.750
Mg14 0.248 0.248 0.500
Mg15 0.248 0.752 0.500
Mg16 0.500 0.000 0.000
Mg17 0.500 0.000 0.500
Mg18 0.500 0.241 0.258
Mg19 0.500 0.241 0.742
Mg20 0.500 0.500 0.500
Mg21 0.500 0.759 0.258
Mg22 0.500 0.759 0.742
Mg23 0.752 0.248 0.500
Mg24 0.752 0.752 0.500
Mg25 0.753 0.000 0.250
Mg26 0.753 0.000 0.750
Mg27 0.759 0.500 0.258
Mg28 0.759 0.500 0.742
Mg29 0.760 0.240 0.000
Mg30 0.760 0.760 0.000
O1 0.000 0.000 0.264
O2 0.000 0.000 0.736
O3 0.000 0.252 0.500
O4 0.000 0.261 0.000
O5 0.000 0.500 0.255
O6 0.000 0.500 0.745
O7 0.000 0.739 0.000
O8 0.000 0.748 0.500
O9 0.237 0.500 0.000
O10 0.249 0.500 0.500
O11 0.251 0.251 0.250
O12 0.251 0.251 0.750
O13 0.251 0.749 0.250
O14 0.251 0.749 0.750
O15 0.252 0.000 0.500
O16 0.261 0.000 0.000
O17 0.500 0.000 0.255
O18 0.500 0.000 0.745
O19 0.500 0.237 0.000
O20 0.500 0.249 0.500
O21 0.500 0.500 0.265
O22 0.500 0.500 0.735
O23 0.500 0.751 0.500
O24 0.500 0.763 0.000
O25 0.739 0.000 0.000
O26 0.748 0.000 0.500
O27 0.749 0.251 0.250
O28 0.749 0.251 0.750
O29 0.749 0.749 0.250
O30 0.749 0.749 0.750
O31 0.751 0.500 0.500
O32 0.763 0.500 0.000
```

---

No. 3
DFT (PBE) results for crystalline Na2CeMgO4 at its relaxed geometry.

Values from the calculation:
Calculated volume (A^3/atom): 13.297
Space-group type: P2/m, No. 10
E_form (uncorrected) (eV per atom): -2.470
Theoretical density (g/cm³): 4.3

The structure in CIF format:
```
data_Na2CeMgO4
_chemical_formula_sum 'Na2 Ce1 Mg1 O4'
_symmetry_space_group_name_H-M 'P 1'
_symmetry_Int_Tables_number 1
_symmetry_space_group_name_Hall 'P 1'
_cell_length_a 5.593
_cell_length_b 3.436
_cell_length_c 5.813
_cell_angle_alpha 90.00
_cell_angle_beta 107.76
_cell_angle_gamma 90.00
loop_
_atom_site_label
_atom_site_fract_x
_atom_site_fract_y
_atom_site_fract_z
Na1 0.000 0.000 0.000
Na2 0.500 0.500 0.000
Ce1 0.000 0.500 0.500
Mg1 0.500 0.000 0.500
O1 0.243 0.000 0.711
O2 0.267 0.500 0.292
O3 0.733 0.500 0.708
O4 0.757 0.000 0.289
```